[1]
Entry from the Alexandria database: a geometry-optimized Ag5PdF8 structure (GGA-PBE).

The structure belongs to space group I-4 (No. 82); the cell edges are 7.0228, 7.0228 and 8.2007 Å and the angles 90.00°, 90.00° and 90.00°. The asymmetric unit holds Ag at (0.0000, 0.0000, 0.0000), Ag at (0.0763, 0.7546, 0.6135), Pd at (0.0000, 0.5000, 0.2500), F at (0.0294, 0.7848, 0.2696) and F at (0.0710, 0.6951, 0.9286).

Its spin magnetization is 1.06 μB per formula unit. For the raw formation energy, the calculation gives -14.51 eV per formula unit. For the density of states at the Fermi level, the calculation gives 10.7 states/eV/cell.

***

[2]
Entry from the Alexandria database: a geometry-optimized AgPdPtF6 structure (GGA-PBE).

The structure belongs to space group P4_2nm (No. 102); the cell edges are 5.1582, 5.1582 and 10.5431 Å and the angles 90.00°, 90.00° and 90.00°. The asymmetric unit holds Ag at (0.0000, 0.0000, 0.0000), Pd at (0.0000, 0.0000, 0.3240), Pt at (0.0000, 0.0000, 0.6650), F at (0.1758, 0.1758, 0.5160), F at (0.1886, 0.1886, 0.8075) and F at (0.2211, 0.2211, 0.1715).

Its spin magnetization is 1.00 μB per formula unit. For the raw formation energy, the calculation gives -10.12 eV per formula unit. For the density of states at the Fermi level, the calculation gives 5.1 states/eV/cell.

***

[3]
Entry from the Alexandria database: a geometry-optimized Rb4AgPd3F12 structure (GGA-PBE).

The structure belongs to space group Im-3m (No. 229); the cell edges are 8.7697, 8.7697 and 8.7697 Å and the angles 90.00°, 90.00° and 90.00°. The asymmetric unit holds Rb at (0.2500, 0.2500, 0.2500), Ag at (0.0000, 0.0000, 0.0000), Pd at (0.0000, 0.0000, 0.5000), F at (0.0000, 0.0000, 0.2665) and F at (0.0000, 0.2500, 0.5000).

Its spin magnetization is 0.00 μB per formula unit. For the raw formation energy, the calculation gives -37.96 eV per formula unit. For the density of states at the Fermi level, the calculation gives 7.7 states/eV/cell.

***

[4]
Entry from the Alexandria database: a geometry-optimized Rb3Ag2PdF9 structure (GGA-PBE).

The structure belongs to space group P-3m1 (No. 164); the cell edges are 6.2690, 6.2690 and 7.6620 Å and the angles 90.00°, 90.00° and 120.00°. The asymmetric unit holds Rb at (0.0000, 0.0000, 0.0000), Rb at (0.3333, 0.6667, 0.6921), Ag at (0.3333, 0.6667, 0.1779), Pd at (0.0000, 0.0000, 0.5000), F at (0.0000, 0.5000, 0.0000) and F at (0.1557, 0.3115, 0.3474).

Its spin magnetization is 0.00 μB per formula unit. For the raw formation energy, the calculation gives -28.67 eV per formula unit. For the density of states at the Fermi level, the calculation gives 2.8 states/eV/cell.

***

[5]
Entry from the Alexandria database: a geometry-optimized RbAgPdF6 structure (GGA-PBE).

The structure belongs to space group C2 (No. 5); the cell edges are 6.0789, 10.5474 and 5.4762 Å and the angles 90.00°, 90.06° and 90.00°. The asymmetric unit holds Rb at (0.0000, 0.0000, 0.0000), Ag at (0.0000, 0.3336, 0.5000), Pd at (0.0000, 0.6667, 0.5000), F at (0.1262, 0.5287, 0.3036), F at (0.1433, 0.7989, 0.3036) and F at (0.2290, 0.1724, 0.3042).

Its spin magnetization is 0.14 μB per formula unit. For the raw formation energy, the calculation gives -15.04 eV per formula unit.

***

[6]
Entry from the Alexandria database: a geometry-optimized AgPdRhF6 structure (GGA-PBE).

The structure belongs to space group P4_2nm (No. 102); the cell edges are 5.0684, 5.0684 and 10.3814 Å and the angles 90.00°, 90.00° and 90.00°. The asymmetric unit holds Ag at (0.0000, 0.0000, 0.0000), Pd at (0.0000, 0.0000, 0.3287), Rh at (0.0000, 0.0000, 0.6657), F at (0.1768, 0.1768, 0.5134), F at (0.1890, 0.1890, 0.8115) and F at (0.2180, 0.2180, 0.1696).

Its spin magnetization is 2.07 μB per formula unit. For the raw formation energy, the calculation gives -11.32 eV per formula unit. For the density of states at the Fermi level, the calculation gives 10.7 states/eV/cell.

***

- What is the formula in the fourth record?
  Rb3Ag2PdF9